No. 1
# NpCu2GeO8 | Alexandria | PBE | relaxed
data_NpCu2GeO8
_chemical_formula_sum 'Np1 Cu2 Ge1 O8'
_cell_length_a 5.7153
_cell_length_b 5.7153
_cell_length_c 5.7153
_cell_angle_alpha 113.02
_cell_angle_beta 113.02
_cell_angle_gamma 102.59
_space_group_name_H-M_alt 'P 1'
_space_group_IT_number 1
loop_
_space_group_symop_operation_xyz
'x,y,z'
loop_
_atom_site_label
_atom_site_type_symbol
_atom_site_fract_x
_atom_site_fract_y
_atom_site_fract_z
O1 O 0.9498 0.2420 0.2922
O2 O 0.7580 0.0502 0.7078
O3 O 0.3032 0.1049 0.8016
O4 O 0.9498 0.6576 0.7078
O5 O 0.4984 0.6968 0.8016
O6 O 0.3032 0.5016 0.1984
O7 O 0.3424 0.0502 0.2922
O8 O 0.8951 0.6968 0.1984
Ge1 Ge 0.0000 0.0000 0.0000
Np1 Np 0.2500 0.7500 0.5000
Cu1 Cu 0.7500 0.2500 0.5000
Cu2 Cu 0.5000 0.5000 0.0000
# Raw formation energy, kJ per mole of atoms: -117
# E_tot, eV/atom: -6.66

---

No. 2
# TaFeHg | Alexandria | PBE | relaxed
data_TaFeHg
_chemical_formula_sum 'Ta1 Fe1 Hg1'
_cell_length_a 5.6603
_cell_length_b 5.6603
_cell_length_c 5.6603
_cell_angle_alpha 148.14
_cell_angle_beta 148.14
_cell_angle_gamma 45.68
_space_group_name_H-M_alt 'P 1'
_space_group_IT_number 1
loop_
_space_group_symop_operation_xyz
'x,y,z'
loop_
_atom_site_label
_atom_site_type_symbol
_atom_site_fract_x
_atom_site_fract_y
_atom_site_fract_z
Fe1 Fe 0.0166 0.0166 0.0000
Hg1 Hg 0.3435 0.3435 0.0000
Ta1 Ta 0.6399 0.6399 0.0000
# Distance to the lowest polymorph of the same formula, meV/atom: 0
# E_tot, eV/atom: -6.61

---

No. 3
# Ba6Pd2PtCl3 | Alexandria | PBE | relaxed
data_Ba6Pd2PtCl3
_chemical_formula_sum 'Ba6 Pd2 Pt1 Cl3'
_cell_length_a 7.8688
_cell_length_b 7.8688
_cell_length_c 8.5066
_cell_angle_alpha 98.87
_cell_angle_beta 98.87
_cell_angle_gamma 119.99
_space_group_name_H-M_alt 'P 1'
_space_group_IT_number 1
loop_
_space_group_symop_operation_xyz
'x,y,z'
loop_
_atom_site_label
_atom_site_type_symbol
_atom_site_fract_x
_atom_site_fract_y
_atom_site_fract_z
Ba1 Ba 0.7459 0.7459 0.2241
Ba2 Ba 0.4036 0.0747 0.2240
Ba3 Ba 0.5964 0.9253 0.7760
Ba4 Ba 0.0747 0.4036 0.2240
Ba5 Ba 0.2541 0.2541 0.7759
Ba6 Ba 0.9253 0.5964 0.7760
Cl1 Cl 0.8323 0.1677 0.5000
Cl2 Cl 0.5000 0.5000 0.5000
Cl3 Cl 0.1677 0.8323 0.5000
Pd1 Pd 0.6665 0.3335 0.0000
Pd2 Pd 0.3335 0.6665 0.0000
Pt1 Pt 0.0000 0.0000 0.0000
# Raw formation energy, kJ per mole of atoms: -122
# E_tot, eV/atom: -4.06

---

No. 4
# Tl4In15Bi | Alexandria | PBE | relaxed
data_Tl4In15Bi
_chemical_formula_sum 'Tl4 In15 Bi1'
_cell_length_a 5.4608
_cell_length_b 5.4608
_cell_length_c 19.0456
_cell_angle_alpha 90.00
_cell_angle_beta 90.00
_cell_angle_gamma 90.00
_space_group_name_H-M_alt 'P 1'
_space_group_IT_number 1
loop_
_space_group_symop_operation_xyz
'x,y,z'
loop_
_atom_site_label
_atom_site_type_symbol
_atom_site_fract_x
_atom_site_fract_y
_atom_site_fract_z
In1 In 0.0000 0.5000 0.3033
In2 In 0.5000 0.0000 0.5000
In3 In 0.5000 0.5000 0.2007
In4 In 0.0000 0.5000 0.1034
In5 In 0.5000 0.5000 0.7993
In6 In 0.5000 0.0000 0.3033
In7 In 0.0000 0.5000 0.6967
In8 In 0.5000 0.0000 0.8966
In9 In 0.5000 0.0000 0.6967
In10 In 0.5000 0.5000 0.4021
In11 In 0.5000 0.5000 0.5979
In12 In 0.0000 0.5000 0.8966
In13 In 0.5000 0.5000 0.0000
In14 In 0.5000 0.0000 0.1034
In15 In 0.0000 0.5000 0.5000
Tl1 Tl 0.0000 0.0000 0.4012
Tl2 Tl 0.0000 0.0000 0.2040
Tl3 Tl 0.0000 0.0000 0.7960
Tl4 Tl 0.0000 0.0000 0.5988
Bi1 Bi 0.0000 0.0000 0.0000
# E_tot, eV/atom: -2.70

---

No. 5
# Ni4MoPt4 | Alexandria | PBE | relaxed
data_Ni4MoPt4
_chemical_formula_sum 'Ni4 Mo1 Pt4'
_cell_length_a 3.8509
_cell_length_b 5.9843
_cell_length_c 5.9843
_cell_angle_alpha 84.06
_cell_angle_beta 71.23
_cell_angle_gamma 71.23
_space_group_name_H-M_alt 'P 1'
_space_group_IT_number 1
loop_
_space_group_symop_operation_xyz
'x,y,z'
loop_
_atom_site_label
_atom_site_type_symbol
_atom_site_fract_x
_atom_site_fract_y
_atom_site_fract_z
Ni1 Ni 0.0000 0.3362 0.6638
Ni2 Ni 0.0000 0.6638 0.3362
Ni3 Ni 0.6638 0.3362 0.3362
Ni4 Ni 0.3362 0.6638 0.6638
Pt1 Pt 0.6672 0.9999 0.6657
Pt2 Pt 0.3329 0.3343 0.9999
Pt3 Pt 0.3328 0.0001 0.3343
Pt4 Pt 0.6671 0.6657 0.0001
Mo1 Mo 0.0000 0.0000 0.0000
# E_tot, eV/atom: -6.57

---

No. 6
# MnPd2Au4 | Alexandria | PBE | relaxed
data_MnPd2Au4
_chemical_formula_sum 'Mn2 Pd4 Au8'
_cell_length_a 5.3374
_cell_length_b 5.3374
_cell_length_c 9.3530
_cell_angle_alpha 103.39
_cell_angle_beta 103.39
_cell_angle_gamma 100.85
_space_group_name_H-M_alt 'P 1'
_space_group_IT_number 1
loop_
_space_group_symop_operation_xyz
'x,y,z'
loop_
_atom_site_label
_atom_site_type_symbol
_atom_site_fract_x
_atom_site_fract_y
_atom_site_fract_z
Pd1 Pd 0.4129 0.4985 0.4704
Pd2 Pd 0.1925 0.7782 0.0296
Pd3 Pd 0.0282 0.9425 0.5296
Pd4 Pd 0.7485 0.1629 0.9704
Au1 Au 0.9794 0.0700 0.2497
Au2 Au 0.5954 0.1658 0.6603
Au3 Au 0.4158 0.3454 0.1603
Au4 Au 0.8203 0.7297 0.7503
Au5 Au 0.1850 0.2554 0.8397
Au6 Au 0.3200 0.7294 0.7497
Au7 Au 0.9797 0.5703 0.2503
Au8 Au 0.5054 0.9350 0.3397
Mn1 Mn 0.6518 0.6518 0.0000
Mn2 Mn 0.9018 0.4018 0.5000
# Distance to the lowest polymorph of the same formula, meV/atom: 0
# E_tot, eV/atom: -4.69